VASP calculation (GGA-PBE) on a geometry-optimized Li6CdSn6 structure.

Computed properties:
The value obtained for the total energy is -38.21 eV/cell. The crystal system is orthorhombic. The value obtained for the total moment is 0.0 μB/f.u.

Unit cell a=6.4347 b=6.4347 c=9.4323 alpha=90.00 beta=90.00 gamma=126.24
Positions (direct):
Li: 0.0000 0.0000 0.6820
Li: 0.0000 0.0000 0.3180
Li: 0.3498 0.6502 0.0000
Li: 0.6502 0.3498 0.0000
Li: 0.3492 0.6508 0.5000
Li: 0.6508 0.3492 0.5000
Cd: 0.0000 0.0000 0.0000
Sn: 0.0000 0.5000 0.7531
Sn: 0.5000 0.0000 0.7531
Sn: 0.5000 0.5000 0.7518
Sn: 0.5000 0.0000 0.2469
Sn: 0.0000 0.5000 0.2469
Sn: 0.5000 0.5000 0.2482

=====

VASP calculation (GGA-PBE) on a geometry-optimized BaTlClO2 structure.

Computed properties:
For the uncorrected formation energy, the calculation gives -1.615 eV per atom. The value obtained for the total energy is -48.26 eV/cell. The crystal system is orthorhombic. The value obtained for the total moment is 0.0 μB/f.u.

Unit cell a=4.3568 b=6.6293 c=8.0691 alpha=90.00 beta=90.00 gamma=109.18
Positions (direct):
Ba: 0.7236 0.4473 0.7500
Ba: 0.2764 0.5527 0.2500
Tl: 0.0000 0.0000 0.0000
Tl: 0.0000 0.0000 0.5000
Cl: 0.4495 0.8991 0.7500
Cl: 0.5505 0.1009 0.2500
O: 0.1560 0.3121 0.9511
O: 0.8440 0.6879 0.0489
O: 0.1560 0.3121 0.5489
O: 0.8440 0.6879 0.4511

=====

VASP calculation (GGA-PBE) on a geometry-optimized LiPrSb3 structure.

Computed properties:
For the uncorrected formation energy, the calculation gives -0.658 eV per atom. The value obtained for the total energy is -89.40 eV/cell. The crystal system is orthorhombic. The value obtained for the total moment is 0.0 μB/f.u.

Unit cell a=6.3732 b=6.1294 c=13.7949 alpha=90.00 beta=90.00 gamma=90.00
Positions (direct):
Li: 0.5000 0.2500 0.1040
Li: 0.0000 0.7500 0.8960
Li: 0.5000 0.7500 0.8960
Li: 0.0000 0.2500 0.1040
Pr: 0.7500 0.4916 0.6845
Pr: 0.2500 0.5084 0.3155
Pr: 0.7500 0.9916 0.3155
Pr: 0.2500 0.0084 0.6845
Sb: 0.0000 0.2500 0.4970
Sb: 0.5000 0.7500 0.5030
Sb: 0.0000 0.7500 0.5030
Sb: 0.5000 0.2500 0.4970
Sb: 0.2500 0.2104 0.9200
Sb: 0.7500 0.7896 0.0800
Sb: 0.2500 0.7104 0.0800
Sb: 0.7500 0.2896 0.9200
Sb: 0.2500 0.5021 0.7541
Sb: 0.7500 0.4979 0.2459
Sb: 0.2500 0.0021 0.2459
Sb: 0.7500 0.9979 0.7541

=====

VASP calculation (GGA-PBE) on a geometry-optimized CaH2S structure.

Computed properties:
The value obtained for the total energy is -26.86 eV/cell. The crystal system is tetragonal. The value obtained for the total moment is 0.0 μB/f.u.

Unit cell a=3.9397 b=3.9397 c=7.5923 alpha=74.96 beta=74.96 gamma=90.00
Positions (direct):
H: 0.5609 0.1250 0.2500
H: 0.1891 0.6250 0.2500
H: 0.3750 0.4391 0.7500
H: 0.8750 0.8109 0.7500
Ca: 0.0000 0.0000 0.0000
Ca: 0.7500 0.2500 0.5000
S: 0.5000 0.5000 0.0000
S: 0.2500 0.7500 0.5000

=====

VASP calculation (GGA-PBE) on a geometry-optimized SrLaCdNi2 structure.

Computed properties:
The value obtained for the total energy is -14.89 eV/cell. The crystal system is tetragonal. The value obtained for the total moment is 0.0 μB/f.u.

Unit cell a=4.8461 b=6.1318 c=4.8461 alpha=90.00 beta=90.00 gamma=90.00
Positions (direct):
Sr: 0.0000 0.5000 0.0000
Cd: 0.5000 0.5000 0.5000
Ni: 0.0000 0.0000 0.5000
Ni: 0.5000 0.0000 0.0000
La: 0.0000 0.0000 0.0000

=====

VASP calculation (GGA-PBE) on a geometry-optimized ZrCuTeO6 structure.

Computed properties:
For the uncorrected formation energy, the calculation gives -1.470 eV per atom. The value obtained for the total energy is -117.53 eV/cell. The crystal system is trigonal. The value obtained for the total moment is 1.0 μB/f.u.

Unit cell a=5.3616 b=5.3616 c=8.9133 alpha=90.00 beta=90.00 gamma=120.00
Each line ends with the local moment (μB).
Positions (direct):
Zr: 0.3333 0.6667 0.2500  0.00
Zr: 0.6667 0.3333 0.7500  0.00
Cu: 0.0000 0.0000 0.0000  0.63
Cu: 0.0000 0.0000 0.5000  0.63
Te: 0.6667 0.3333 0.2500  0.00
Te: 0.3333 0.6667 0.7500  0.00
O: 0.6623 0.6387 0.1307  0.06
O: 0.9764 0.3377 0.1307  0.06
O: 0.3377 0.9764 0.6307  0.06
O: 0.0236 0.6623 0.8693  0.06
O: 0.3613 0.3377 0.3693  0.06
O: 0.9764 0.6387 0.3693  0.06
O: 0.6387 0.9764 0.8693  0.06
O: 0.6623 0.0236 0.3693  0.06
O: 0.0236 0.3613 0.6307  0.06
O: 0.3613 0.0236 0.1307  0.06
O: 0.6387 0.6623 0.6307  0.06
O: 0.3377 0.3613 0.8693  0.06

=====

VASP calculation (GGA-PBE) on a geometry-optimized YMg2CuS structure.

Computed properties:
For the uncorrected formation energy, the calculation gives 1.152 eV per atom. The value obtained for the total energy is -12.11 eV/cell. The crystal system is tetragonal. The value obtained for the total moment is 0.0 μB/f.u.

Unit cell a=5.9621 b=5.0523 c=5.9621 alpha=90.00 beta=90.00 gamma=90.00
Positions (direct):
Y: 0.0000 0.0000 0.0000
S: 0.5000 0.5000 0.5000
Mg: 0.0000 0.0000 0.5000
Mg: 0.5000 0.0000 0.0000
Cu: 0.0000 0.5000 0.0000

=====

VASP calculation (GGA-PBE) on a geometry-optimized PuIn2Ag structure.

Computed properties:
The value obtained for the total energy is -22.60 eV/cell. The crystal system is tetragonal. The value obtained for the total moment is 5.7 μB/f.u.

Unit cell a=3.2103 b=5.5080 c=5.5080 alpha=90.00 beta=90.00 gamma=90.00
Each line ends with the local moment (μB).
Positions (direct):
In: 0.0000 0.0000 0.5000  0.01
In: 0.0000 0.5000 0.0000  0.01
Ag: 0.5000 0.5000 0.5000  -0.02
Pu: 0.5000 0.0000 0.0000  5.41